DFT (meta-GGA SCAN) results for a crystal of K2LaRe relaxed with PBEsol.

Calculated values
DFT formation energy	5.20	eV per formula unit
calculated volume	107	Å³ per cell
offset from the most stable computed form	0.135	eV per atom

abc: 2.937 5.810 6.287
angles: 90.00 90.00 90.00
Space group Pmmm (No. 47)
Unique sites:
K 0.000 0.235 0.000 [2 per cell]
La 0.500 0.500 0.500 [1 per cell]
Re 0.500 0.000 0.500 [1 per cell]

DFT (meta-GGA SCAN) results for a crystal of K2LaRe relaxed with PBEsol.

Calculated values
DFT formation energy	5.82	eV per formula unit
calculated volume	133	Å³ per cell
offset from the most stable computed form	0.291	eV per atom

abc: 4.844 4.844 5.671
angles: 90.00 90.00 90.00
Space group P4/mmm (No. 123)
Unique sites:
K 0.000 0.000 0.236 [2 per cell]
La 0.500 0.500 0.500 [1 per cell]
Re 0.500 0.500 0.000 [1 per cell]

DFT (meta-GGA SCAN) results for a crystal of K2LaRe relaxed with PBEsol.

Calculated values
DFT formation energy	4.65	eV per formula unit
calculated volume	112	Å³ per cell
offset from the most stable computed form	0.000	eV per atom

abc: 3.520 4.896 6.527
angles: 90.00 90.00 90.00
Space group Pmmm (No. 47)
Unique sites:
K 0.000 0.000 0.000 [1 per cell]
K 0.500 0.500 0.000 [1 per cell]
La 0.000 0.500 0.500 [1 per cell]
Re 0.500 0.000 0.500 [1 per cell]